Compound: NaCd2In2Pb
Source: Alexandria via LeMat-Bulk
Functional: PBE-GGA
Structure: relaxed

Results
total energy: -2.081 eV/atom
energy of formation from the pure elements: -2.4 kJ/mol of atoms
density of states at the Fermi level: 4.9 states/eV/cell

Structure (POSCAR):
```
NaCd2In2Pb
1.0
-4.048 -0.823 2.511
-3.190 -2.879 -6.086
3.137 -8.366 2.314
Na Cd In Pb
2 4 4 2
Direct
0.000 0.963 0.416 Na
0.000 0.463 0.584 Na
0.000 0.253 0.918 Cd
0.500 0.253 0.387 Cd
0.000 0.753 0.082 Cd
0.500 0.753 0.613 Cd
0.500 0.047 0.084 In
0.000 0.365 0.219 In
0.500 0.547 0.916 In
0.000 0.865 0.781 In
0.500 0.165 0.712 Pb
0.500 0.665 0.288 Pb
```